No. 1
! Ba2CdSi, relaxed, DFT PBE; values from VASP
&SYSTEM
  ibrav = 0, nat = 4, ntyp = 3
/
ATOMIC_SPECIES
Ba 137.33 Ba.upf
Cd 112.41 Cd.upf
Si 28.09 Si.upf
ATOMIC_POSITIONS crystal
Ba 0.000 0.000 0.000
Ba 0.750 0.250 0.500
Cd 0.250 0.750 0.500
Si 0.500 0.500 0.000
CELL_PARAMETERS angstrom
-2.490 2.490 5.371
2.490 -2.490 5.371
2.490 2.490 -5.371
! Formation energy without anion corrections   -51.6 meV/atom
! SG   I-4m2, No. 119
! Total magnetic moment   0.00 μB/f.u.
! Crystal system   tetragonal

No. 2
! Ba2Cd5Si, relaxed, DFT PBE; values from VASP
&SYSTEM
  ibrav = 0, nat = 16, ntyp = 3
/
ATOMIC_SPECIES
Ba 137.33 Ba.upf
Cd 112.41 Cd.upf
Si 28.09 Si.upf
ATOMIC_POSITIONS crystal
Ba 0.000 0.000 0.000
Ba 0.000 0.000 0.500
Ba 0.205 0.795 0.750
Ba 0.795 0.205 0.250
Cd 0.186 0.814 0.105
Cd 0.186 0.814 0.395
Cd 0.354 0.646 0.027
Cd 0.354 0.646 0.473
Cd 0.414 0.586 0.750
Cd 0.586 0.414 0.250
Cd 0.646 0.354 0.527
Cd 0.646 0.354 0.973
Cd 0.814 0.186 0.605
Cd 0.814 0.186 0.895
Si 0.438 0.562 0.250
Si 0.562 0.438 0.750
CELL_PARAMETERS angstrom
2.593 -9.025 0.000
2.593 9.025 0.000
0.000 0.000 9.960
! Formation energy without anion corrections   -267.1 meV/atom
! SG   Cmcm, No. 63
! Total magnetic moment   0.00 μB/f.u.
! Crystal system   orthorhombic

No. 3
! BaSm2Cd, relaxed, DFT PBE; values from VASP
&SYSTEM
  ibrav = 0, nat = 4, ntyp = 3
/
ATOMIC_SPECIES
Ba 137.33 Ba.upf
Sm 150.36 Sm.upf
Cd 112.41 Cd.upf
ATOMIC_POSITIONS crystal
Ba 0.000 0.000 0.000
Sm 0.500 0.500 0.314
Sm 0.500 0.500 0.686
Cd 0.000 0.000 0.500
CELL_PARAMETERS angstrom
3.884 0.000 0.000
0.000 3.884 0.000
0.000 0.000 9.653
! SG   P4/mmm, No. 123
! Total magnetic moment   0.00 μB/f.u.
! Crystal system   tetragonal
! Final energy   -0.1138 hartree per atom

Please write out number 1 again, unchanged.
! Ba2CdSi, relaxed, DFT PBE; values from VASP
&SYSTEM
  ibrav = 0, nat = 4, ntyp = 3
/
ATOMIC_SPECIES
Ba 137.33 Ba.upf
Cd 112.41 Cd.upf
Si 28.09 Si.upf
ATOMIC_POSITIONS crystal
Ba 0.000 0.000 0.000
Ba 0.750 0.250 0.500
Cd 0.250 0.750 0.500
Si 0.500 0.500 0.000
CELL_PARAMETERS angstrom
-2.490 2.490 5.371
2.490 -2.490 5.371
2.490 2.490 -5.371
! Formation energy without anion corrections   -51.6 meV/atom
! SG   I-4m2, No. 119
! Total magnetic moment   0.00 μB/f.u.
! Crystal system   tetragonal

Question: Number 3 is which compound?
Answer: BaSm2Cd

Question: What is the formula in the second record?
Answer: Ba2Cd5Si